(1)
MgAsSBr2 | GGA-PBE | optimized geometry

Properties
For the uncorrected formation energy, the calculation gives 0.2222 eV/atom. Its space group is P4/mmm. The calculation puts the density of states at the Fermi level at 3.824 states/eV/f.u.

Unit cell a=4.955 b=4.955 c=5.775 alpha=90.00 beta=90.00 gamma=90.00
Element x y z (fractional)
Mg (0.000, 0.000, 0.000)
As (0.000, 0.000, 0.500)
S (0.500, 0.500, 0.500)
Br (0.000, 0.500, 0.000)
Br (0.500, 0.000, 0.000)

---

(2)
Cs2TlCd3Pb4 | GGA-PBE | optimized geometry

Properties
The calculation puts the energy of formation at -0.0868 eV per atom. Its space group is P-4m2. The calculation puts the density of states at the Fermi level at 5.406 states/eV/f.u.

Unit cell a=5.235 b=5.235 c=13.011 alpha=90.00 beta=90.00 gamma=90.00
Element x y z (fractional)
Cs (0.000, 0.500, 0.246)
Cs (0.500, 0.000, 0.754)
Tl (0.500, 0.500, 0.000)
Cd (0.000, 0.000, 0.000)
Cd (0.000, 0.500, 0.633)
Cd (0.500, 0.000, 0.367)
Pb (0.000, 0.000, 0.500)
Pb (0.000, 0.500, 0.867)
Pb (0.500, 0.000, 0.133)
Pb (0.500, 0.500, 0.500)

---

(3)
Tm7Ge2C2 | GGA-PBE | optimized geometry

Properties
The calculation puts the energy of formation at -0.1735 eV per atom. Its space group is C2/m. The calculation puts the density of states at the Fermi level at 7.905 states/eV/f.u.

Unit cell a=6.921 b=6.921 c=6.904 alpha=94.55 beta=94.55 gamma=111.97
Element x y z (fractional)
Tm (0.000, 0.000, 0.000)
Tm (0.060, 0.432, 0.758)
Tm (0.422, 0.422, 0.211)
Tm (0.432, 0.060, 0.758)
Tm (0.568, 0.940, 0.242)
Tm (0.578, 0.578, 0.789)
Tm (0.940, 0.568, 0.242)
Ge (0.317, 0.683, 0.500)
Ge (0.683, 0.317, 0.500)
C (0.280, 0.280, 0.890)
C (0.720, 0.720, 0.110)

---

(4)
HgGe2Ir2 | GGA-PBE | optimized geometry

Properties
The calculation puts the energy of formation at -0.0494 eV per atom. Its space group is I4/mmm. The calculation puts the density of states at the Fermi level at 1.947 states/eV/f.u.

Unit cell a=6.478 b=6.478 c=6.478 alpha=145.26 beta=145.26 gamma=49.94
Element x y z (fractional)
Hg (0.000, 0.000, 0.000)
Ge (0.250, 0.750, 0.500)
Ge (0.750, 0.250, 0.500)
Ir (0.384, 0.384, 0.000)
Ir (0.616, 0.616, 0.000)

---

(5)
Tb6Tm12Th | GGA-PBE | optimized geometry

Properties
The calculation puts the energy of formation at 0.2258 eV per atom. Its space group is R-3m. The calculation puts the density of states at the Fermi level at 35.471 states/eV/f.u.

Unit cell a=8.620 b=8.620 c=8.620 alpha=99.72 beta=99.72 gamma=99.72
Element x y z (fractional)
Tb (0.162, 0.606, 0.606)
Tb (0.394, 0.394, 0.838)
Tb (0.394, 0.838, 0.394)
Tb (0.606, 0.162, 0.606)
Tb (0.606, 0.606, 0.162)
Tb (0.838, 0.394, 0.394)
Tm (0.000, 0.256, 0.744)
Tm (0.000, 0.744, 0.256)
Tm (0.153, 0.153, 0.423)
Tm (0.153, 0.423, 0.153)
Tm (0.256, 0.000, 0.744)
Tm (0.256, 0.744, 0.000)
Tm (0.423, 0.153, 0.153)
Tm (0.577, 0.847, 0.847)
Tm (0.744, 0.000, 0.256)
Tm (0.744, 0.256, 0.000)
Tm (0.847, 0.577, 0.847)
Tm (0.847, 0.847, 0.577)
Th (0.500, 0.500, 0.500)

---

(6)
HoPaAsO6 | GGA-PBE | optimized geometry

Properties
For the uncorrected formation energy, the calculation gives -2.6308 eV/atom. Its space group is P-31c. The calculation puts the density of states at the Fermi level at 4.329 states/eV/f.u.

Unit cell a=5.438 b=5.438 c=9.550 alpha=90.00 beta=90.00 gamma=120.00
Element x y z (fractional)
Ho (0.333, 0.667, 0.250)
Ho (0.667, 0.333, 0.750)
Pa (0.000, 0.000, 0.000)
Pa (0.000, 0.000, 0.500)
As (0.333, 0.667, 0.750)
As (0.667, 0.333, 0.250)
O (0.035, 0.351, 0.631)
O (0.035, 0.684, 0.869)
O (0.316, 0.351, 0.869)
O (0.316, 0.965, 0.631)
O (0.351, 0.035, 0.131)
O (0.351, 0.316, 0.369)
O (0.649, 0.684, 0.631)
O (0.649, 0.965, 0.869)
O (0.684, 0.035, 0.369)
O (0.684, 0.649, 0.131)
O (0.965, 0.316, 0.131)
O (0.965, 0.649, 0.369)

---

(7)
TbCoB2 | GGA-PBE | optimized geometry

Properties
The calculation puts the energy of formation at -0.4982 eV per atom. Its space group is P2_1/m. The calculation puts the density of states at the Fermi level at 1.353 states/eV/f.u.

Unit cell a=3.137 b=5.311 c=6.032 alpha=90.00 beta=90.72 gamma=90.00
Element x y z (fractional)
Tb (0.244, 0.250, 0.164)
Tb (0.756, 0.750, 0.836)
Co (0.255, 0.250, 0.674)
Co (0.745, 0.750, 0.326)
B (0.250, 0.590, 0.511)
B (0.250, 0.910, 0.511)
B (0.750, 0.090, 0.489)
B (0.750, 0.410, 0.489)

---

(8)
Na2Sc2SbSe6 | GGA-PBE | optimized geometry

Properties
For the uncorrected formation energy, the calculation gives -1.1749 eV/atom. Its space group is C2/m. The calculation puts the density of states at the Fermi level at 3.485 states/eV/f.u.

Unit cell a=6.851 b=6.851 c=7.456 alpha=98.40 beta=98.40 gamma=120.49
Element x y z (fractional)
Na (0.162, 0.838, 0.000)
Na (0.838, 0.162, 0.000)
Sc (0.332, 0.668, 0.500)
Sc (0.668, 0.332, 0.500)
Sb (0.000, 0.000, 0.500)
Se (0.070, 0.409, 0.717)
Se (0.270, 0.270, 0.284)
Se (0.409, 0.070, 0.717)
Se (0.591, 0.930, 0.283)
Se (0.730, 0.730, 0.716)
Se (0.930, 0.591, 0.283)

---

(9)
InAg2Ir | GGA-PBE | optimized geometry

Properties
The calculation puts the energy of formation at 0.3133 eV per atom. Its space group is I-42d. The calculation puts the density of states at the Fermi level at 1.568 states/eV/f.u.

Unit cell a=10.504 b=10.504 c=10.504 alpha=158.69 beta=158.69 gamma=30.32
Element x y z (fractional)
In (0.000, 0.000, 0.000)
In (0.750, 0.250, 0.500)
Ag (0.132, 0.625, 0.007)
Ag (0.375, 0.382, 0.507)
Ag (0.618, 0.125, 0.993)
Ag (0.875, 0.868, 0.493)
Ir (0.250, 0.750, 0.500)
Ir (0.500, 0.500, 0.000)

---

(10)
CrB | GGA-PBE | optimized geometry

Properties
The calculation puts the energy of formation at -0.0707 eV per atom. Its space group is Fm-3m. The calculation puts the density of states at the Fermi level at 1.749 states/eV/f.u.

Unit cell a=2.941 b=2.941 c=2.941 alpha=60.00 beta=60.00 gamma=60.00
Element x y z (fractional)
Cr (0.000, 0.000, 0.000)
B (0.500, 0.500, 0.500)

---

(11)
Sr2SbIr | GGA-PBE | optimized geometry

Properties
For the uncorrected formation energy, the calculation gives -0.3421 eV/atom. Its space group is I-42d. The calculation puts the density of states at the Fermi level at 2.505 states/eV/f.u.

Unit cell a=8.351 b=8.351 c=8.351 alpha=95.23 beta=95.23 gamma=144.86
Element x y z (fractional)
Sr (0.375, 0.051, 0.176)
Sr (0.801, 0.625, 0.676)
Sr (0.875, 0.199, 0.824)
Sr (0.949, 0.125, 0.324)
Sb (0.250, 0.750, 0.500)
Sb (0.500, 0.500, 0.000)
Ir (0.000, 0.000, 0.000)
Ir (0.750, 0.250, 0.500)

---

(12)
SrPaBi2O6 | GGA-PBE | optimized geometry

Properties
For the uncorrected formation energy, the calculation gives -2.2354 eV/atom. Its space group is R3. The calculation puts the density of states at the Fermi level at 0.775 states/eV/f.u.

Unit cell a=6.288 b=6.288 c=6.288 alpha=59.69 beta=59.69 gamma=59.69
Element x y z (fractional)
Sr (0.000, 0.000, 0.000)
Pa (0.512, 0.512, 0.512)
Bi (0.294, 0.294, 0.294)
Bi (0.754, 0.754, 0.754)
O (0.147, 0.404, 0.681)
O (0.269, 0.875, 0.589)
O (0.404, 0.681, 0.147)
O (0.589, 0.269, 0.875)
O (0.681, 0.147, 0.404)
O (0.875, 0.589, 0.269)

---

(13)
GaSeBr2O | GGA-PBE | optimized geometry

Properties
For the uncorrected formation energy, the calculation gives 0.5984 eV/atom. Its space group is P4/mmm. The calculation puts the density of states at the Fermi level at 8.203 states/eV/f.u.

Unit cell a=5.094 b=5.094 c=5.218 alpha=90.00 beta=90.00 gamma=90.00
Element x y z (fractional)
Ga (0.000, 0.000, 0.000)
Se (0.000, 0.000, 0.500)
Br (0.000, 0.500, 0.000)
Br (0.500, 0.000, 0.000)
O (0.500, 0.500, 0.500)

---

(14)
TaP | GGA-PBE | optimized geometry

Properties
The calculation puts the energy of formation at -0.6609 eV per atom. Its space group is P2_13. The calculation puts the density of states at the Fermi level at 0.909 states/eV/f.u.

Unit cell a=4.957 b=4.957 c=4.957 alpha=90.00 beta=90.00 gamma=90.00
Element x y z (fractional)
Ta (0.111, 0.111, 0.111)
Ta (0.389, 0.889, 0.611)
Ta (0.611, 0.389, 0.889)
Ta (0.889, 0.611, 0.389)
P (0.094, 0.594, 0.906)
P (0.406, 0.406, 0.406)
P (0.594, 0.906, 0.094)
P (0.906, 0.094, 0.594)

---

(15)
Re4W | GGA-PBE | optimized geometry

Properties
The calculation puts the energy of formation at 0.8602 eV per atom. Its space group is I4/mmm. The calculation puts the density of states at the Fermi level at 4.942 states/eV/f.u.

Unit cell a=6.192 b=6.192 c=6.192 alpha=142.52 beta=142.52 gamma=54.05
Element x y z (fractional)
Re (0.108, 0.108, 0.000)
Re (0.250, 0.750, 0.500)
Re (0.750, 0.250, 0.500)
Re (0.892, 0.892, 0.000)
W (0.500, 0.500, 0.000)

---

(16)
PmTlP | GGA-PBE | optimized geometry

Properties
The calculation puts the energy of formation at -0.7281 eV per atom. Its space group is Pbcm. The calculation puts the density of states at the Fermi level at 0.979 states/eV/f.u.

Unit cell a=5.972 b=7.186 c=7.852 alpha=90.00 beta=90.00 gamma=90.00
Element x y z (fractional)
Pm (0.167, 0.250, 0.000)
Pm (0.167, 0.250, 0.500)
Pm (0.833, 0.750, 0.000)
Pm (0.833, 0.750, 0.500)
Tl (0.369, 0.749, 0.250)
Tl (0.369, 0.751, 0.750)
Tl (0.631, 0.249, 0.250)
Tl (0.631, 0.251, 0.750)
P (0.000, 0.000, 0.250)
P (0.000, 0.000, 0.750)
P (0.000, 0.500, 0.250)
P (0.000, 0.500, 0.750)

---

(17)
Rb2BaNa2 | GGA-PBE | optimized geometry

Properties
The calculation puts the energy of formation at 0.1829 eV per atom. Its space group is I4/mmm. The calculation puts the density of states at the Fermi level at 3.481 states/eV/f.u.

Unit cell a=8.397 b=8.397 c=8.397 alpha=132.12 beta=132.12 gamma=70.04
Element x y z (fractional)
Rb (0.137, 0.137, 0.000)
Rb (0.863, 0.863, 0.000)
Ba (0.500, 0.500, 0.000)
Na (0.250, 0.750, 0.500)
Na (0.750, 0.250, 0.500)

---

(18)
Nd4Sm10Ho | GGA-PBE | optimized geometry

Properties
The calculation puts the energy of formation at 0.7281 eV per atom. Its space group is I4/m. The calculation puts the density of states at the Fermi level at 26.815 states/eV/f.u.

Unit cell a=9.586 b=9.586 c=9.586 alpha=99.62 beta=99.62 gamma=131.73
Element x y z (fractional)
Nd (0.101, 0.701, 0.802)
Nd (0.299, 0.101, 0.400)
Nd (0.701, 0.899, 0.600)
Nd (0.899, 0.299, 0.198)
Sm (0.053, 0.351, 0.900)
Sm (0.153, 0.053, 0.703)
Sm (0.250, 0.750, 0.500)
Sm (0.351, 0.451, 0.297)
Sm (0.451, 0.153, 0.100)
Sm (0.549, 0.847, 0.900)
Sm (0.649, 0.549, 0.703)
Sm (0.750, 0.250, 0.500)
Sm (0.847, 0.947, 0.297)
Sm (0.947, 0.649, 0.100)
Ho (0.500, 0.500, 0.000)

---

(19)
TbCe2YSb5 | GGA-PBE | optimized geometry

Properties
For the uncorrected formation energy, the calculation gives -0.2742 eV/atom. Its space group is P4/mmm. The calculation puts the density of states at the Fermi level at 16.737 states/eV/f.u.

Unit cell a=5.326 b=5.326 c=11.570 alpha=90.00 beta=90.00 gamma=90.00
Element x y z (fractional)
Tb (0.000, 0.000, 0.000)
Ce (0.500, 0.500, 0.213)
Ce (0.500, 0.500, 0.787)
Y (0.000, 0.000, 0.500)
Sb (0.000, 0.000, 0.253)
Sb (0.000, 0.000, 0.747)
Sb (0.000, 0.500, 0.000)
Sb (0.500, 0.000, 0.000)
Sb (0.500, 0.500, 0.500)

---

(20)
La2TlPt | GGA-PBE | optimized geometry

Properties
The calculation puts the energy of formation at -0.6958 eV per atom. Its space group is Amm2. The calculation puts the density of states at the Fermi level at 4.498 states/eV/f.u.

Unit cell a=4.513 b=6.330 c=6.330 alpha=40.20 beta=90.00 gamma=90.00
Element x y z (fractional)
La (0.000, 0.000, 0.000)
La (0.500, 0.287, 0.287)
Tl (0.000, 0.712, 0.712)
Pt (0.500, 0.536, 0.536)

---

(21)
Co5Cu | GGA-PBE | optimized geometry

Properties
The calculation puts the energy of formation at 0.2460 eV per atom. Its space group is F-43m. The calculation puts the density of states at the Fermi level at 6.688 states/eV/f.u.

Unit cell a=4.640 b=4.640 c=4.640 alpha=60.00 beta=60.00 gamma=60.00
Element x y z (fractional)
Co (0.000, 0.000, 0.000)
Co (0.375, 0.375, 0.375)
Co (0.375, 0.375, 0.875)
Co (0.375, 0.875, 0.375)
Co (0.875, 0.375, 0.375)
Cu (0.750, 0.750, 0.750)

---

(22)
C2SeF | GGA-PBE | optimized geometry

Properties
For the uncorrected formation energy, the calculation gives 2.1455 eV/atom. Its space group is Fm-3m. The calculation puts the density of states at the Fermi level at 1.756 states/eV/f.u.

Unit cell a=3.867 b=3.867 c=3.867 alpha=60.00 beta=60.00 gamma=60.00
Element x y z (fractional)
C (0.250, 0.250, 0.250)
C (0.750, 0.750, 0.750)
Se (0.000, 0.000, 0.000)
F (0.500, 0.500, 0.500)

---

(23)
YIn2Pt | GGA-PBE | optimized geometry

Properties
The calculation puts the energy of formation at -0.5304 eV per atom. Its space group is C2/m. The calculation puts the density of states at the Fermi level at 2.391 states/eV/f.u.

Unit cell a=4.576 b=4.576 c=5.740 alpha=113.38 beta=113.38 gamma=59.86
Element x y z (fractional)
Y (0.000, 0.000, 0.000)
In (0.224, 0.224, 0.673)
In (0.776, 0.776, 0.327)
Pt (0.500, 0.500, 0.500)

---

(24)
CrGaTeI2 | GGA-PBE | optimized geometry

Properties
For the uncorrected formation energy, the calculation gives 0.4534 eV/atom. Its space group is P4/mmm. The calculation puts the density of states at the Fermi level at 4.431 states/eV/f.u.

Unit cell a=5.603 b=5.603 c=5.507 alpha=90.00 beta=90.00 gamma=90.00
Element x y z (fractional)
Cr (0.000, 0.000, 0.000)
Ga (0.500, 0.500, 0.500)
Te (0.500, 0.500, 0.000)
I (0.000, 0.500, 0.500)
I (0.500, 0.000, 0.500)